# 1
The following is a PBE calculation of a relaxed structure of CuIrRu, from Alexandria via LeMat-Bulk.

## Properties
formation energy = 0.107 eV/atom
energy above the most stable polymorph in this dataset = 65 meV/atom

Unit cell a=4.6397 b=7.9375 c=4.6363 alpha=90.00 beta=107.63 gamma=90.00
With the nearest neighbours (Å) after each atom.
Space group C2/c (No. 15)
Symmetry-distinct sites (fractional):
Cu 0.0000 0.2493 0.2500  5 Ru 2.63-2.68, 5 Ir 2.64-2.68, 2 Cu 2.74
Ir 0.0000 0.0827 0.7500  5 Cu 2.64-2.68, 5 Ru 2.66-2.74, 2 Ir 2.66
Ru 0.0000 0.4195 0.7500  5 Cu 2.63-2.68, 2 Ru 2.65, 5 Ir 2.66-2.74

=====

# 2
The following is a PBE calculation of a relaxed structure of CuIrRu3, from Alexandria via LeMat-Bulk.

## Properties
formation energy = 1.785 eV/atom
energy above the most stable polymorph in this dataset = 0 meV/atom

Unit cell a=4.3506 b=4.3506 c=4.3506 alpha=90.00 beta=90.00 gamma=90.00
With the nearest neighbours (Å) after each atom.
Space group Pm-3m (No. 221)
Symmetry-distinct sites (fractional):
Cu 0.0000 0.0000 0.0000  6 Ru 2.18
Ir 0.5000 0.5000 0.5000  12 Ru 3.08
Ru 0.0000 0.0000 0.5000  2 Cu 2.18

=====

# 3
The following is a PBE calculation of a relaxed structure of Cu2IrRu, from Alexandria via LeMat-Bulk.

## Properties
formation energy = 0.352 eV/atom
energy above the most stable polymorph in this dataset = 278 meV/atom

Unit cell a=5.9497 b=5.9497 c=5.9497 alpha=90.00 beta=90.00 gamma=90.00
With the nearest neighbours (Å) after each atom.
Space group Fm-3m (No. 225)
Symmetry-distinct sites (fractional):
Cu 0.2500 0.2500 0.2500  4 Ru 2.58, 4 Ir 2.58
Ir 0.0000 0.0000 0.0000  8 Cu 2.58
Ru 0.0000 0.0000 0.5000  8 Cu 2.58

=====

Number 1: density 14.57 g/cm³, V 13.6 Å³/atom. Number 2: density 11.27 g/cm³, V 16.5 Å³/atom. Number 3: density 13.26 g/cm³, V 13.2 Å³/atom.